Record 1
DFT (GGA-PBEsol) results for SiBrCl2 after structural relaxation. Values from VASP.

Crystal system ... trigonal
Space group ... No. 160
Mass density ... 3.4 Mg/m³
Excess energy over the best structure of this formula in the dataset ... 0.000 eV per atom
E ... -11.97 eV/cell
Total magnetic moment ... 0.00 μB per formula unit
E_form (uncorrected) ... -0.085 eV/atom

Quantum ESPRESSO input file:
```
&SYSTEM
  ibrav = 0, nat = 4, ntyp = 3
/
ATOMIC_SPECIES
Br 79.90 Br.upf
Cl 35.45 Cl.upf
Si 28.09 Si.upf
ATOMIC_POSITIONS crystal
Br 0.2338 0.2338 0.2987
Cl 0.7691 0.7691 0.6926
Cl 0.9995 0.9995 0.0014
Si 0.4976 0.4976 0.5073
CELL_PARAMETERS angstrom
-3.3067 -1.6989 0.2819
-1.2538 -1.0971 3.3353
-4.7653 5.5346 2.1129
```

Record 2
DFT (GGA-PBEsol) results for MnCrFe after structural relaxation. Values from VASP.

Crystal system ... trigonal
DFT formation energy ... 0.091 eV/atom
Space group ... No. 156
Mass density ... 8.4 Mg/m³
Excess energy over the best structure of this formula in the dataset ... 0.000 eV per atom
E ... -28.69 eV/cell
Total magnetic moment ... 2.77 μB per formula unit

Quantum ESPRESSO input file:
```
&SYSTEM
  ibrav = 0, nat = 3, ntyp = 3
/
ATOMIC_SPECIES
Cr 52.00 Cr.upf
Mn 54.94 Mn.upf
Fe 55.84 Fe.upf
ATOMIC_POSITIONS crystal
Cr 0.0094 0.0000 0.0000
Mn 0.3102 0.6667 0.3333
Fe 0.6803 0.3333 0.6667
CELL_PARAMETERS angstrom
-0.9639 -1.8000 1.2298
-1.8758 -1.2230 -3.2603
3.6166 -1.3685 0.8317
```

Record 3
DFT (GGA-PBEsol) results for KZr2Hg after structural relaxation. Values from VASP.

Crystal system ... tetragonal
DFT formation energy ... 0.664 eV/atom
Space group ... No. 119
Mass density ... 7.5 Mg/m³
E ... -17.23 eV/cell
Total magnetic moment ... 0.64 μB per formula unit

Quantum ESPRESSO input file:
```
&SYSTEM
  ibrav = 0, nat = 4, ntyp = 3
/
ATOMIC_SPECIES
Zr 91.22 Zr.upf
Hg 200.59 Hg.upf
K 39.10 K.upf
ATOMIC_POSITIONS crystal
Zr 0.0000 0.0000 0.0000
Zr 0.7500 0.2500 0.5000
Hg 0.5000 0.5000 0.0000
K 0.2500 0.7500 0.5000
CELL_PARAMETERS angstrom
-0.8762 1.5200 -4.1125
-4.3523 0.2051 1.0031
3.1702 3.5462 3.0657
```

Record 4
DFT (GGA-PBEsol) results for LaZrAgAs2 after structural relaxation. Values from VASP.

Crystal system ... tetragonal
DFT formation energy ... -0.349 eV/atom
Space group ... No. 123
Mass density ... 6.2 Mg/m³
E ... -29.70 eV/cell
Total magnetic moment ... 0.00 μB per formula unit

Quantum ESPRESSO input file:
```
&SYSTEM
  ibrav = 0, nat = 5, ntyp = 4
/
ATOMIC_SPECIES
Zr 91.22 Zr.upf
La 138.91 La.upf
As 74.92 As.upf
Ag 107.87 Ag.upf
ATOMIC_POSITIONS crystal
Zr 0.0000 0.0000 0.0000
La 0.5000 0.5000 0.5000
As 0.0000 0.5000 0.0000
Ag 0.5000 0.0000 0.0000
As 0.0000 0.0000 0.5000
CELL_PARAMETERS angstrom
5.0369 0.0000 0.0000
0.0000 5.0829 0.0000
0.0000 0.0000 5.0829
```

Record 5
DFT (GGA-PBEsol) results for K2NiN after structural relaxation. Values from VASP.

Crystal system ... tetragonal
Space group ... No. 122
Mass density ... 2.3 Mg/m³
E ... -34.37 eV/cell
Total magnetic moment ... 0.21 μB per formula unit
E_form (uncorrected) ... -0.059 eV/atom

Quantum ESPRESSO input file:
```
&SYSTEM
  ibrav = 0, nat = 8, ntyp = 3
/
ATOMIC_SPECIES
Ni 58.69 Ni.upf
K 39.10 K.upf
N 14.01 N.upf
ATOMIC_POSITIONS crystal
Ni 0.0000 0.0000 0.0000
K 0.8750 0.7401 0.7599
N 0.5000 0.0000 0.0000
K 0.3750 0.2599 0.2401
N 0.2500 0.5000 0.5000
Ni 0.7500 0.5000 0.5000
K 0.3849 0.2401 0.7401
K 0.3651 0.7599 0.2599
CELL_PARAMETERS angstrom
-1.2188 -1.7121 -2.7296
-4.4648 -5.8908 3.5146
-7.0237 3.9250 -1.4998
```

Record 6
DFT (GGA-PBEsol) results for SrZnF4 after structural relaxation. Values from VASP.

Crystal system ... tetragonal
Space group ... No. 88
Mass density ... 4.4 Mg/m³
E ... -59.75 eV/cell
Total magnetic moment ... 0.00 μB per formula unit
E_form (uncorrected) ... -3.123 eV/atom

Quantum ESPRESSO input file:
```
&SYSTEM
  ibrav = 0, nat = 12, ntyp = 3
/
ATOMIC_SPECIES
Sr 87.62 Sr.upf
F 19.00 F.upf
Zn 65.41 Zn.upf
ATOMIC_POSITIONS crystal
Sr 0.0000 0.0000 0.0000
F 0.9992 0.0789 0.6699
F 0.3289 0.4207 0.1699
F 0.9211 0.3293 0.3301
F 0.6707 0.5910 0.6699
F 0.2508 0.6711 0.8301
Zn 0.5000 0.5000 0.0000
F 0.8410 0.7492 0.1699
F 0.5793 0.1590 0.8301
Zn 0.7500 0.2500 0.5000
Sr 0.2500 0.7500 0.5000
F 0.4090 0.0008 0.3301
CELL_PARAMETERS angstrom
5.4406 0.0000 0.0000
0.0000 5.4406 0.0000
-2.7203 -2.7203 5.8019
```

Record 7
DFT (GGA-PBEsol) results for Sr3Se after structural relaxation. Values from VASP.

Crystal system ... trigonal
Space group ... No. 166
Mass density ... 3.8 Mg/m³
E ... -11.03 eV/cell
Total magnetic moment ... 0.00 μB per formula unit
E_form (uncorrected) ... -0.414 eV/atom

Quantum ESPRESSO input file:
```
&SYSTEM
  ibrav = 0, nat = 4, ntyp = 2
/
ATOMIC_SPECIES
Sr 87.62 Sr.upf
Se 78.96 Se.upf
ATOMIC_POSITIONS crystal
Sr 0.5000 0.0000 0.5000
Se 0.0000 0.0000 0.0000
Sr 0.0000 0.5000 0.5000
Sr 0.5000 0.5000 0.0000
CELL_PARAMETERS angstrom
4.0179 0.0000 0.0000
-1.3393 6.5873 0.0000
-1.3393 -3.2937 5.7048
```

Record 8
DFT (GGA-PBEsol) results for NaTaIO2 after structural relaxation. Values from VASP.

Crystal system ... tetragonal
Space group ... No. 123
Mass density ... 6.2 Mg/m³
E ... -34.30 eV/cell
Total magnetic moment ... 0.00 μB per formula unit
E_form (uncorrected) ... -1.617 eV/atom

Quantum ESPRESSO input file:
```
&SYSTEM
  ibrav = 0, nat = 5, ntyp = 4
/
ATOMIC_SPECIES
O 16.00 O.upf
Ta 180.95 Ta.upf
I 126.90 I.upf
Na 22.99 Na.upf
ATOMIC_POSITIONS crystal
O 0.5000 0.0000 0.0000
Ta 0.0000 0.0000 0.0000
O 0.0000 0.5000 0.0000
I 0.0000 0.0000 0.5000
Na 0.5000 0.5000 0.5000
CELL_PARAMETERS angstrom
-3.7150 0.0419 1.4292
-1.4274 -0.3361 -3.7007
0.1252 -6.0757 0.5036
```